1.
Material: NbFeNCl2
Method: DFT, GGA-PBEsol
State: relaxed

Summary:
**Formation energy without anion corrections**: 5.763 eV per formula unit

```
data_NbFeNCl2
_chemical_formula_sum 'Nb1 Fe1 N1 Cl2'
_symmetry_space_group_name_H-M 'P 4/m m m'
_symmetry_Int_Tables_number 123
_symmetry_space_group_name_Hall '-P 4 2'
_cell_length_a 4.150
_cell_length_b 4.150
_cell_length_c 5.125
_cell_angle_alpha 90.00
_cell_angle_beta 90.00
_cell_angle_gamma 90.00
loop_
_atom_site_label
_atom_site_type_symbol
_atom_site_fract_x
_atom_site_fract_y
_atom_site_fract_z
Nb1 Nb 0.000 0.000 0.000
Fe1 Fe 0.000 0.000 0.500
N1 N 0.500 0.500 0.000
Cl1 Cl 0.000 0.500 0.500
```


2.
Material: FeSiN2Cl
Method: DFT, GGA-PBEsol
State: relaxed

Summary:
**Formation energy without anion corrections**: 10.580 eV per formula unit

```
data_FeSiN2Cl
_chemical_formula_sum 'Fe1 Si1 N2 Cl1'
_symmetry_space_group_name_H-M 'P 4/m m m'
_symmetry_Int_Tables_number 123
_symmetry_space_group_name_Hall '-P 4 2'
_cell_length_a 3.817
_cell_length_b 3.817
_cell_length_c 4.226
_cell_angle_alpha 90.00
_cell_angle_beta 90.00
_cell_angle_gamma 90.00
loop_
_atom_site_label
_atom_site_type_symbol
_atom_site_fract_x
_atom_site_fract_y
_atom_site_fract_z
Fe1 Fe 0.000 0.000 0.000
Si1 Si 0.500 0.500 0.000
N1 N 0.000 0.500 0.500
Cl1 Cl 0.000 0.000 0.500
```


3.
Material: FeTe2NCl
Method: DFT, GGA-PBEsol
State: relaxed

Summary:
**Formation energy without anion corrections**: 0.810 eV per formula unit

```
data_FeTe2NCl
_chemical_formula_sum 'Fe1 Te2 N1 Cl1'
_symmetry_space_group_name_H-M 'P 4/m m m'
_symmetry_Int_Tables_number 123
_symmetry_space_group_name_Hall '-P 4 2'
_cell_length_a 5.285
_cell_length_b 5.285
_cell_length_c 3.349
_cell_angle_alpha 90.00
_cell_angle_beta 90.00
_cell_angle_gamma 90.00
loop_
_atom_site_label
_atom_site_type_symbol
_atom_site_fract_x
_atom_site_fract_y
_atom_site_fract_z
Fe1 Fe 0.000 0.000 0.000
Te1 Te 0.000 0.500 0.000
N1 N 0.000 0.000 0.500
Cl1 Cl 0.500 0.500 0.500
```


4.
Material: Na2FeCl2
Method: DFT, GGA-PBEsol
State: relaxed

Summary:
**Formation energy without anion corrections**: -1.221 eV per formula unit

```
data_Na2FeCl2
_chemical_formula_sum 'Na4 Fe2 Cl4'
_symmetry_space_group_name_H-M 'I 4/m m m'
_symmetry_Int_Tables_number 139
_symmetry_space_group_name_Hall '-I 4 2'
_cell_length_a 5.087
_cell_length_b 5.087
_cell_length_c 10.442
_cell_angle_alpha 90.00
_cell_angle_beta 90.00
_cell_angle_gamma 90.00
loop_
_atom_site_label
_atom_site_type_symbol
_atom_site_fract_x
_atom_site_fract_y
_atom_site_fract_z
Na1 Na 0.000 0.000 0.172
Fe1 Fe 0.000 0.000 0.500
Cl1 Cl 0.000 0.500 0.250
```


5.
Material: NaFeCl2
Method: DFT, GGA-PBEsol
State: relaxed

Summary:
**Formation energy without anion corrections**: -2.217 eV per formula unit

```
data_NaFeCl2
_chemical_formula_sum 'Na3 Fe3 Cl6'
_symmetry_space_group_name_H-M 'R -3 m'
_symmetry_Int_Tables_number 166
_symmetry_space_group_name_Hall '-R 3 2"'
_cell_length_a 3.4908
_cell_length_b 3.4908
_cell_length_c 25.0743
_cell_angle_alpha 90.00
_cell_angle_beta 90.00
_cell_angle_gamma 120.00
loop_
_atom_site_label
_atom_site_type_symbol
_atom_site_fract_x
_atom_site_fract_y
_atom_site_fract_z
Na1 Na 0.0000 0.0000 0.0000
Fe1 Fe 0.0000 0.0000 0.5000
Cl1 Cl 0.0000 0.0000 0.1109
```


6.
Material: NaFeSCl2
Method: DFT, GGA-PBEsol
State: relaxed

Summary:
**Formation energy without anion corrections**: 2.310 eV per formula unit

```
data_NaFeSCl2
_chemical_formula_sum 'Na1 Fe1 S1 Cl2'
_symmetry_space_group_name_H-M 'P 4/m m m'
_symmetry_Int_Tables_number 123
_symmetry_space_group_name_Hall '-P 4 2'
_cell_length_a 4.762
_cell_length_b 4.762
_cell_length_c 5.050
_cell_angle_alpha 90.00
_cell_angle_beta 90.00
_cell_angle_gamma 90.00
loop_
_atom_site_label
_atom_site_type_symbol
_atom_site_fract_x
_atom_site_fract_y
_atom_site_fract_z
Na1 Na 0.000 0.000 0.000
Fe1 Fe 0.500 0.500 0.500
S1 S 0.000 0.000 0.500
Cl1 Cl 0.000 0.500 0.000
```


7.
Material: NaFeSnCl2
Method: DFT, GGA-PBEsol
State: relaxed

Summary:
**Formation energy without anion corrections**: -0.042 eV per formula unit

```
data_NaFeSnCl2
_chemical_formula_sum 'Na1 Fe1 Sn1 Cl2'
_symmetry_space_group_name_H-M 'P 4/m m m'
_symmetry_Int_Tables_number 123
_symmetry_space_group_name_Hall '-P 4 2'
_cell_length_a 5.616
_cell_length_b 5.616
_cell_length_c 4.944
_cell_angle_alpha 90.00
_cell_angle_beta 90.00
_cell_angle_gamma 90.00
loop_
_atom_site_label
_atom_site_type_symbol
_atom_site_fract_x
_atom_site_fract_y
_atom_site_fract_z
Na1 Na 0.000 0.000 0.000
Fe1 Fe 0.500 0.500 0.000
Sn1 Sn 0.500 0.500 0.500
Cl1 Cl 0.000 0.500 0.500
```


8.
Material: NbFeCl3
Method: DFT, GGA-PBEsol
State: relaxed

Summary:
**Formation energy without anion corrections**: 1.724 eV per formula unit

```
data_NbFeCl3
_chemical_formula_sum 'Nb1 Fe1 Cl3'
_symmetry_space_group_name_H-M 'P m -3 m'
_symmetry_Int_Tables_number 221
_symmetry_space_group_name_Hall '-P 4 2 3'
_cell_length_a 4.635
_cell_length_b 4.635
_cell_length_c 4.635
_cell_angle_alpha 90.00
_cell_angle_beta 90.00
_cell_angle_gamma 90.00
loop_
_atom_site_label
_atom_site_type_symbol
_atom_site_fract_x
_atom_site_fract_y
_atom_site_fract_z
Nb1 Nb 0.000 0.000 0.000
Fe1 Fe 0.500 0.500 0.500
Cl1 Cl 0.000 0.500 0.500
```


9.
Material: NbFeRe2Cl
Method: DFT, GGA-PBEsol
State: relaxed

Summary:
**Formation energy without anion corrections**: 7.752 eV per formula unit

```
data_NbFeRe2Cl
_chemical_formula_sum 'Nb1 Fe1 Re2 Cl1'
_symmetry_space_group_name_H-M 'P 4/m m m'
_symmetry_Int_Tables_number 123
_symmetry_space_group_name_Hall '-P 4 2'
_cell_length_a 4.446
_cell_length_b 4.446
_cell_length_c 4.209
_cell_angle_alpha 90.00
_cell_angle_beta 90.00
_cell_angle_gamma 90.00
loop_
_atom_site_label
_atom_site_type_symbol
_atom_site_fract_x
_atom_site_fract_y
_atom_site_fract_z
Nb1 Nb 0.000 0.000 0.000
Fe1 Fe 0.500 0.500 0.500
Re1 Re 0.000 0.500 0.500
Cl1 Cl 0.500 0.500 0.000
```


10.
Material: FeNi2Cl
Method: DFT, GGA-PBEsol
State: relaxed

Summary:
**Energy above the lowest structure with this stoichiometry**: 62 meV per atom
**Formation energy without anion corrections**: 0.933 eV per formula unit

```
data_FeNi2Cl
_chemical_formula_sum 'Fe1 Ni2 Cl1'
_symmetry_space_group_name_H-M 'P 4/m m m'
_symmetry_Int_Tables_number 123
_symmetry_space_group_name_Hall '-P 4 2'
_cell_length_a 2.962
_cell_length_b 2.962
_cell_length_c 5.774
_cell_angle_alpha 90.00
_cell_angle_beta 90.00
_cell_angle_gamma 90.00
loop_
_atom_site_label
_atom_site_type_symbol
_atom_site_fract_x
_atom_site_fract_y
_atom_site_fract_z
Fe1 Fe 0.000 0.000 0.000
Ni1 Ni 0.500 0.500 0.214
Cl1 Cl 0.000 0.000 0.500
```


11.
Material: FeNi2Cl
Method: DFT, GGA-PBEsol
State: relaxed

Summary:
**Energy above the lowest structure with this stoichiometry**: 0 meV per atom
**Formation energy without anion corrections**: 0.686 eV per formula unit

```
data_FeNi2Cl
_chemical_formula_sum 'Fe1 Ni2 Cl1'
_symmetry_space_group_name_H-M 'P 1 m 1'
_symmetry_Int_Tables_number 6
_cell_length_a 3.066
_cell_length_b 2.810
_cell_length_c 6.244
_cell_angle_alpha 90.00
_cell_angle_beta 90.15
_cell_angle_gamma 90.00
loop_
_symmetry_equiv_pos_as_xyz
'x,y,z'
'x,-y,z'
loop_
_atom_site_label
_atom_site_type_symbol
_atom_site_fract_x
_atom_site_fract_y
_atom_site_fract_z
Fe1 Fe 0.000 0.000 0.000
Ni1 Ni 0.499 0.500 0.811
Ni2 Ni 0.997 0.000 0.606
Cl1 Cl 0.012 0.500 0.304
```


12.
Material: FeNiCl2
Method: DFT, GGA-PBEsol
State: relaxed

Summary:
**Formation energy without anion corrections**: -0.829 eV per formula unit

```
data_FeNiCl2
_chemical_formula_sum 'Fe3 Ni3 Cl6'
_symmetry_space_group_name_H-M 'R 3 m'
_symmetry_Int_Tables_number 160
_symmetry_space_group_name_Hall 'R 3 -2"'
_cell_length_a 3.3163
_cell_length_b 3.3163
_cell_length_c 22.0289
_cell_angle_alpha 90.00
_cell_angle_beta 90.00
_cell_angle_gamma 120.00
loop_
_atom_site_label
_atom_site_type_symbol
_atom_site_fract_x
_atom_site_fract_y
_atom_site_fract_z
Fe1 Fe 0.0000 0.0000 0.0000
Ni1 Ni 0.0000 0.0000 0.7282
Cl1 Cl 0.0000 0.0000 0.2657
Cl2 Cl 0.0000 0.0000 0.4543
```


13.
Material: FeNi2Cl
Method: DFT, GGA-PBEsol
State: relaxed

Summary:
**Energy above the lowest structure with this stoichiometry**: 410 meV per atom
**Formation energy without anion corrections**: 2.326 eV per formula unit

```
data_FeNi2Cl
_chemical_formula_sum 'Fe2 Ni4 Cl2'
_symmetry_space_group_name_H-M 'I 4/m m m'
_symmetry_Int_Tables_number 139
_symmetry_space_group_name_Hall '-I 4 2'
_cell_length_a 3.608
_cell_length_b 3.608
_cell_length_c 7.466
_cell_angle_alpha 90.00
_cell_angle_beta 90.00
_cell_angle_gamma 90.00
loop_
_atom_site_label
_atom_site_type_symbol
_atom_site_fract_x
_atom_site_fract_y
_atom_site_fract_z
Fe1 Fe 0.000 0.000 0.000
Ni1 Ni 0.000 0.500 0.250
Cl1 Cl 0.000 0.000 0.500
```


14.
Material: Fe2ClO
Method: DFT, GGA-PBEsol
State: relaxed

Summary:
**Formation energy without anion corrections**: 0.323 eV per formula unit

```
data_Fe2ClO
_chemical_formula_sum 'Fe8 Cl4 O4'
_symmetry_space_group_name_H-M 'F m -3 m'
_symmetry_Int_Tables_number 225
_symmetry_space_group_name_Hall '-F 4 2 3'
_cell_length_a 5.647
_cell_length_b 5.647
_cell_length_c 5.647
_cell_angle_alpha 90.00
_cell_angle_beta 90.00
_cell_angle_gamma 90.00
loop_
_atom_site_label
_atom_site_type_symbol
_atom_site_fract_x
_atom_site_fract_y
_atom_site_fract_z
Fe1 Fe 0.250 0.250 0.250
Cl1 Cl 0.000 0.000 0.000
O1 O 0.000 0.000 0.500
```


15.
Material: FePCl2O
Method: DFT, GGA-PBEsol
State: relaxed

Summary:
**Formation energy without anion corrections**: 2.977 eV per formula unit

```
data_FePCl2O
_chemical_formula_sum 'Fe1 P1 Cl2 O1'
_symmetry_space_group_name_H-M 'P 4/m m m'
_symmetry_Int_Tables_number 123
_symmetry_space_group_name_Hall '-P 4 2'
_cell_length_a 4.397
_cell_length_b 4.397
_cell_length_c 4.444
_cell_angle_alpha 90.00
_cell_angle_beta 90.00
_cell_angle_gamma 90.00
loop_
_atom_site_label
_atom_site_type_symbol
_atom_site_fract_x
_atom_site_fract_y
_atom_site_fract_z
Fe1 Fe 0.000 0.000 0.000
P1 P 0.000 0.000 0.500
Cl1 Cl 0.000 0.500 0.000
O1 O 0.500 0.500 0.500
```


16.
Material: Sr3Fe2Cl2O4
Method: DFT, GGA-PBEsol
State: relaxed

Summary:
**Formation energy without anion corrections**: -23.186 eV per formula unit

```
data_Sr3Fe2Cl2O4
_chemical_formula_sum 'Sr6 Fe4 Cl4 O8'
_symmetry_space_group_name_H-M 'I 4/m m m'
_symmetry_Int_Tables_number 139
_symmetry_space_group_name_Hall '-I 4 2'
_cell_length_a 3.909
_cell_length_b 3.909
_cell_length_c 22.378
_cell_angle_alpha 90.00
_cell_angle_beta 90.00
_cell_angle_gamma 90.00
loop_
_atom_site_label
_atom_site_type_symbol
_atom_site_fract_x
_atom_site_fract_y
_atom_site_fract_z
Sr1 Sr 0.000 0.000 0.000
Sr2 Sr 0.000 0.000 0.151
Fe1 Fe 0.000 0.000 0.430
Cl1 Cl 0.000 0.000 0.297
O1 O 0.000 0.500 0.076
```


17.
Material: Sr3Fe2Cl2O5
Method: DFT, GGA-PBEsol
State: relaxed

Summary:
**Formation energy without anion corrections**: -26.001 eV per formula unit

```
data_Sr3Fe2Cl2O5
_chemical_formula_sum 'Sr6 Fe4 Cl4 O10'
_symmetry_space_group_name_H-M 'I 4/m m m'
_symmetry_Int_Tables_number 139
_symmetry_space_group_name_Hall '-I 4 2'
_cell_length_a 3.873
_cell_length_b 3.873
_cell_length_c 23.673
_cell_angle_alpha 90.00
_cell_angle_beta 90.00
_cell_angle_gamma 90.00
loop_
_atom_site_label
_atom_site_type_symbol
_atom_site_fract_x
_atom_site_fract_y
_atom_site_fract_z
Sr1 Sr 0.000 0.000 0.000
Sr2 Sr 0.000 0.000 0.155
Fe1 Fe 0.000 0.000 0.421
Cl1 Cl 0.000 0.000 0.296
O1 O 0.000 0.000 0.500
O2 O 0.000 0.500 0.087
```


18.
Material: Sr2FeClO3
Method: DFT, GGA-PBEsol
State: relaxed

Summary:
**Formation energy without anion corrections**: -15.939 eV per formula unit

```
data_Sr2FeClO3
_chemical_formula_sum 'Sr4 Fe2 Cl2 O6'
_symmetry_space_group_name_H-M 'P 4/n m m'
_symmetry_Int_Tables_number 129
_cell_length_a 3.875
_cell_length_b 3.875
_cell_length_c 14.281
_cell_angle_alpha 90.00
_cell_angle_beta 90.00
_cell_angle_gamma 90.00
loop_
_symmetry_equiv_pos_as_xyz
'x,y,z'
'-x,-y,-z'
'-y+1/2,x,z'
'y+1/2,-x,-z'
'-x+1/2,-y+1/2,z'
'x+1/2,y+1/2,-z'
'y,-x+1/2,z'
'-y,x+1/2,-z'
'x+1/2,-y,-z'
'-x+1/2,y,z'
'-y,-x,-z'
'y,x,z'
'-x,y+1/2,-z'
'x,-y+1/2,z'
'y+1/2,x+1/2,-z'
'-y+1/2,-x+1/2,z'
loop_
_atom_site_label
_atom_site_type_symbol
_atom_site_fract_x
_atom_site_fract_y
_atom_site_fract_z
Sr1 Sr 0.250 0.250 0.097
Sr2 Sr 0.250 0.250 0.344
Fe1 Fe 0.250 0.250 0.792
Cl1 Cl 0.250 0.250 0.574
O1 O 0.250 0.250 0.925
O2 O 0.250 0.750 0.229
```


19.
Material: FeWClO4
Method: DFT, GGA-PBEsol
State: relaxed

Summary:
**Formation energy without anion corrections**: -10.890 eV per formula unit

```
data_FeWClO4
_chemical_formula_sum 'Fe2 W2 Cl2 O8'
_symmetry_space_group_name_H-M 'P 4/n m m'
_symmetry_Int_Tables_number 129
_cell_length_a 6.684
_cell_length_b 6.684
_cell_length_c 5.394
_cell_angle_alpha 90.00
_cell_angle_beta 90.00
_cell_angle_gamma 90.00
loop_
_symmetry_equiv_pos_as_xyz
'x,y,z'
'-x,-y,-z'
'-y+1/2,x,z'
'y+1/2,-x,-z'
'-x+1/2,-y+1/2,z'
'x+1/2,y+1/2,-z'
'y,-x+1/2,z'
'-y,x+1/2,-z'
'x+1/2,-y,-z'
'-x+1/2,y,z'
'-y,-x,-z'
'y,x,z'
'-x,y+1/2,-z'
'x,-y+1/2,z'
'y+1/2,x+1/2,-z'
'-y+1/2,-x+1/2,z'
loop_
_atom_site_label
_atom_site_type_symbol
_atom_site_fract_x
_atom_site_fract_y
_atom_site_fract_z
Fe1 Fe 0.250 0.250 0.222
W1 W 0.250 0.750 0.500
Cl1 Cl 0.250 0.250 0.816
O1 O 0.033 0.750 0.694
```


20.
Material: FeOs2Cl
Method: DFT, GGA-PBEsol
State: relaxed

Summary:
**Energy above the lowest structure with this stoichiometry**: 197 meV per atom
**Formation energy without anion corrections**: 3.227 eV per formula unit

```
data_FeOs2Cl
_chemical_formula_sum 'Fe1 Os2 Cl1'
_symmetry_space_group_name_H-M 'P 4/m m m'
_symmetry_Int_Tables_number 123
_symmetry_space_group_name_Hall '-P 4 2'
_cell_length_a 2.826
_cell_length_b 2.826
_cell_length_c 6.885
_cell_angle_alpha 90.00
_cell_angle_beta 90.00
_cell_angle_gamma 90.00
loop_
_atom_site_label
_atom_site_type_symbol
_atom_site_fract_x
_atom_site_fract_y
_atom_site_fract_z
Fe1 Fe 0.000 0.000 0.000
Os1 Os 0.500 0.500 0.216
Cl1 Cl 0.000 0.000 0.500
```